Record 1
A plane-wave DFT calculation with PBE was carried out for a geometry-optimized ZrCuAg2 structure.

a = 4.949 Å, b = 4.949 Å, c = 2.973 Å
α = 90.00°, β = 90.00°, γ = 90.00°
Fractional positions:
Zr  0.000  0.000  0.000
Cu  0.500  0.500  0.000
Ag  0.000  0.500  0.500
Ag  0.500  0.000  0.500

Computed properties:
Uncorrected energy = -4.367 eV/atom
Size of the total moment = 0.00 μB/cell
Formation energy from the elements = 85 kJ/mol of formula units
SG = No. 123

=====

Record 2
A plane-wave DFT calculation with PBE was carried out for a geometry-optimized ZrCuAg2 structure.

a = 5.213 Å, b = 5.213 Å, c = 4.844 Å
α = 104.59°, β = 104.59°, γ = 33.71°
Fractional positions:
Zr  0.000  0.000  0.000
Cu  0.500  0.500  0.500
Ag  0.233  0.233  0.735
Ag  0.767  0.767  0.265

Computed properties:
Uncorrected energy = -4.537 eV/atom
Size of the total moment = 0.00 μB/cell
Formation energy from the elements = 19 kJ/mol of formula units
SG = No. 12